Below is an optimized crystal structure of Ho2ThI, with properties calculated at the GGA-PBE level.

The space group is P4/mmm (No. 123) and the conventional cell measures 3.703, 3.703 and 9.297 Å, with angles of 90.00, 90.00 and 90.00 degrees. The distinct sites, in fractional coordinates, are Ho at (0.000, 0.000, 0.248), Th at (0.500, 0.500, 0.000) and I at (0.500, 0.500, 0.500).

For the total magnetization, the calculation gives 0.0000 μB per atom. The calculation puts the energy above the most stable polymorph in this dataset at 0.073 eV per atom. The calculation puts the calculated volume at 127.5 Å³/cell. Its uncorrected formation energy is -0.28 eV/atom. The calculation puts the total DFT energy (no corrections) at -4.8159 eV per atom.